First-principles (PBE) data for crystalline EuDyRe4 at its relaxed geometry, as listed in the Alexandria database.

Lattice parameters (Å, degrees): 5.4423 5.4423 5.4423 60.00 60.00 60.00
Sites, in units of the cell vectors:
Eu 0.0000 0.0000 0.0000
Dy 0.2500 0.2500 0.2500
Re 0.1252 0.6249 0.6249
Re 0.6249 0.1252 0.6249
Re 0.6249 0.6249 0.1252
Re 0.6249 0.6249 0.6249

Calculated values
space group	F-43m, No. 216
D(E_F)	3.270	states/eV/cell
E_form	0.02	eV/atom